# KPrPd4, relaxed, DFT PBE
data_KPrPd4
_chemical_formula_sum 'K4 Pr4 Pd16'
_cell_length_a 7.8471
_cell_length_b 7.8471
_cell_length_c 7.8471
_cell_angle_alpha 90.00
_cell_angle_beta 90.00
_cell_angle_gamma 90.00
_space_group_name_H-M_alt 'F -4 3 m'
_space_group_IT_number 216
_space_group_name_Hall 'F -4 2 3'
loop_
_atom_site_label
_atom_site_type_symbol
_atom_site_fract_x
_atom_site_fract_y
_atom_site_fract_z
_atom_site_occupancy
K1 K 0.0000 0.0000 0.0000 1
Pr1 Pr 0.2500 0.2500 0.2500 1
Pd1 Pd 0.1247 0.1247 0.6247 1
# * DOS(E_F): 11.93 states/eV/cell
# * density: 8.326 g/cm³
# * formation energy: -0.44 eV per atom

# KPdPt4, relaxed, DFT PBE
data_KPdPt4
_chemical_formula_sum 'K4 Pd4 Pt16'
_cell_length_a 7.6065
_cell_length_b 7.6065
_cell_length_c 7.6065
_cell_angle_alpha 90.00
_cell_angle_beta 90.00
_cell_angle_gamma 90.00
_space_group_name_H-M_alt 'F -4 3 m'
_space_group_IT_number 216
_space_group_name_Hall 'F -4 2 3'
loop_
_atom_site_label
_atom_site_type_symbol
_atom_site_fract_x
_atom_site_fract_y
_atom_site_fract_z
_atom_site_occupancy
K1 K 0.0000 0.0000 0.0000 1
Pd1 Pd 0.2500 0.2500 0.2500 1
Pt1 Pt 0.1245 0.1245 0.6245 1
# * DOS(E_F): 13.98 states/eV/cell
# * density: 13.973 g/cm³
# * formation energy: 0.08 eV per atom

# KPd2Pt, relaxed, DFT PBE
data_KPd2Pt
_chemical_formula_sum 'K3 Pd6 Pt3'
_cell_length_a 2.8732
_cell_length_b 2.8732
_cell_length_c 30.2030
_cell_angle_alpha 90.00
_cell_angle_beta 90.00
_cell_angle_gamma 120.00
_space_group_name_H-M_alt 'R -3 m'
_space_group_IT_number 166
_space_group_name_Hall '-R 3 2"'
loop_
_atom_site_label
_atom_site_type_symbol
_atom_site_fract_x
_atom_site_fract_y
_atom_site_fract_z
_atom_site_occupancy
K1 K 0.0000 0.0000 0.0000 1
Pd1 Pd 0.0000 0.0000 0.2424 1
Pt1 Pt 0.0000 0.0000 0.5000 1
# * DOS(E_F): 18.99 states/eV/cell
# * density: 10.313 g/cm³
# * formation energy: 0.28 eV per atom

# K3PdPt, relaxed, DFT PBE
data_K3PdPt
_chemical_formula_sum 'K3 Pd1 Pt1'
_cell_length_a 6.0463
_cell_length_b 6.0463
_cell_length_c 6.0463
_cell_angle_alpha 90.00
_cell_angle_beta 90.00
_cell_angle_gamma 90.00
_space_group_name_H-M_alt 'P m -3 m'
_space_group_IT_number 221
_space_group_name_Hall '-P 4 2 3'
loop_
_atom_site_label
_atom_site_type_symbol
_atom_site_fract_x
_atom_site_fract_y
_atom_site_fract_z
_atom_site_occupancy
K1 K 0.0000 0.0000 0.5000 1
Pd1 Pd 0.5000 0.5000 0.5000 1
Pt1 Pt 0.0000 0.0000 0.0000 1
# * DOS(E_F): 5.75 states/eV/cell
# * density: 3.146 g/cm³
# * formation energy: 0.41 eV per atom